La3InIr: optimized geometry, PBE.

## Properties
Its calculated total energy is -58.2 eV per cell. The calculation puts the magnetic moment at 0.00 μB per formula unit. The value obtained for the density of states at the Fermi level is 0.94 states/eV/atom. The theoretical density comes out at 7.89 g cm⁻³. The formation enthalpy at 0 K is -540 meV per atom.

```
La3InIr
1.0
6.528 -0.006 -0.017
1.099 6.597 0.019
-4.917 1.213 7.086
La Ir In
6 2 2
direct
0.056 0.669 0.396
0.290 0.936 0.163
0.749 0.955 0.649
0.739 0.208 0.200
0.281 0.190 0.713
0.974 0.475 0.966
0.259 0.265 0.367
0.771 0.880 0.995
0.643 0.484 0.483
0.387 0.660 0.880
```


La3InIr: optimized geometry, PBE.

## Properties
Its calculated total energy is -28.6 eV per cell. The calculation puts the magnetic moment at 0.00 μB per formula unit. The value obtained for the density of states at the Fermi level is 1.63 states/eV/atom. The theoretical density comes out at 6.86 g cm⁻³. The formation enthalpy at 0 K is -451 meV per atom.

```
La3InIr
1.0
5.595 0.000 0.000
0.000 5.595 0.000
0.000 0.000 5.595
Ir In La
1 1 3
direct
0.000 0.000 0.000
0.500 0.500 0.500
0.000 0.500 0.000
0.000 0.000 0.500
0.500 0.000 0.000
```


LaIn12Ir4: optimized geometry, PBE.

## Properties
Its calculated total energy is -73.8 eV per cell. The calculation puts the magnetic moment at 0.00 μB per formula unit. The value obtained for the density of states at the Fermi level is 0.54 states/eV/atom. The theoretical density comes out at 8.45 g cm⁻³. The formation enthalpy at 0 K is -34 meV per atom.

```
LaIn12Ir4
1.0
-5.427 -5.479 -3.213
3.817 -3.407 6.605
-4.081 6.888 2.388
La In Ir
1 12 4
direct
0.000 0.000 0.000
0.830 0.329 0.159
0.329 0.498 0.170
0.841 0.170 0.671
0.329 0.159 0.830
0.159 0.830 0.329
0.671 0.502 0.830
0.498 0.170 0.329
0.502 0.830 0.671
0.671 0.841 0.170
0.830 0.671 0.502
0.170 0.329 0.498
0.170 0.671 0.841
0.000 0.500 0.000
0.500 0.000 0.000
0.500 0.500 0.500
0.000 0.000 0.500
```


La4InIr: optimized geometry, PBE.

## Properties
Its calculated total energy is -28.8 eV per cell. The calculation puts the magnetic moment at 0.00 μB per formula unit. The value obtained for the density of states at the Fermi level is 1.47 states/eV/atom. The theoretical density comes out at 8.23 g cm⁻³. The formation enthalpy at 0 K is 425 meV per atom.

```
La4InIr
1.0
0.000 4.432 4.432
4.432 0.000 4.432
4.432 4.432 0.000
La In Ir
4 1 1
direct
0.878 0.374 0.374
0.374 0.374 0.878
0.374 0.878 0.374
0.374 0.374 0.374
0.750 0.750 0.750
0.000 0.000 0.000
```


La3InIr: optimized geometry, PBE.

## Properties
Its calculated total energy is -58.2 eV per cell. The calculation puts the magnetic moment at 0.00 μB per formula unit. The value obtained for the density of states at the Fermi level is 0.89 states/eV/atom. The theoretical density comes out at 8.04 g cm⁻³. The formation enthalpy at 0 K is -546 meV per atom.

```
La3InIr
1.0
8.800 0.027 0.001
-0.897 3.845 -0.001
-1.777 -0.412 8.831
La Ir In
6 2 2
direct
0.269 0.147 0.887
0.872 0.448 0.736
0.269 0.647 0.234
0.678 0.351 0.235
0.028 0.026 0.449
0.466 0.246 0.574
0.203 0.614 0.647
0.700 0.863 0.495
0.599 0.812 0.903
0.951 0.987 0.066
```


La3InIr: optimized geometry, PBE.

## Properties
Its calculated total energy is -113.1 eV per cell. The calculation puts the magnetic moment at 0.00 μB per formula unit. The value obtained for the density of states at the Fermi level is 1.05 states/eV/atom. The theoretical density comes out at 8.18 g cm⁻³. The formation enthalpy at 0 K is -376 meV per atom.

```
La3InIr
1.0
6.169 0.000 0.000
0.000 11.015 0.000
0.000 0.000 8.644
Ir In La
4 4 12
direct
0.038 0.250 0.410
0.462 0.750 0.910
0.962 0.750 0.590
0.538 0.250 0.090
0.000 0.000 0.500
0.500 0.500 0.000
0.500 0.000 0.000
0.000 0.500 0.500
0.992 0.898 0.857
0.508 0.398 0.357
0.508 0.102 0.357
0.008 0.398 0.143
0.008 0.102 0.143
0.492 0.602 0.643
0.492 0.898 0.643
0.992 0.602 0.857
0.711 0.250 0.789
0.789 0.750 0.289
0.289 0.750 0.211
0.211 0.250 0.711
```


La3InIr: optimized geometry, PBE.

## Properties
Its calculated total energy is -57.1 eV per cell. The calculation puts the magnetic moment at 0.00 μB per formula unit. The value obtained for the density of states at the Fermi level is 1.10 states/eV/atom. The theoretical density comes out at 7.05 g cm⁻³. The formation enthalpy at 0 K is -429 meV per atom.

```
La3InIr
1.0
4.404 0.000 6.762
-2.202 3.814 6.762
-2.202 -3.814 6.762
Ir In La
2 2 6
direct
0.331 0.331 0.331
0.669 0.669 0.669
0.110 0.110 0.110
0.890 0.890 0.890
0.520 0.086 0.656
0.086 0.656 0.520
0.344 0.480 0.914
0.914 0.344 0.480
0.480 0.914 0.344
0.656 0.520 0.086
```


La2InIr: optimized geometry, PBE.

## Properties
Its calculated total energy is -23.2 eV per cell. The calculation puts the magnetic moment at 0.00 μB per formula unit. The value obtained for the density of states at the Fermi level is 0.78 states/eV/atom. The theoretical density comes out at 9.21 g cm⁻³. The formation enthalpy at 0 K is -432 meV per atom.

```
La2InIr
1.0
8.273 0.006 0.013
-3.144 4.016 -0.015
1.984 1.558 3.170
In Ir La
1 1 2
direct
0.000 0.500 0.500
0.500 0.500 0.000
0.000 0.000 0.000
0.500 0.000 0.500
```


What is the theoretical density in the third record?
8.45 g cm⁻³